SmY2Ir: relaxed, GGA-PBE.

a = 6.473 Å, b = 7.289 Å, c = 9.387 Å
α = 90.00°, β = 90.00°, γ = 90.00°
Atoms (fractional coordinates):
Sm 0.865 0.035 0.250
Sm 0.135 0.965 0.750
Sm 0.635 0.535 0.250
Sm 0.365 0.465 0.750
Y 0.172 0.675 0.436
Y 0.828 0.325 0.936
Y 0.828 0.325 0.564
Y 0.328 0.175 0.436
Y 0.672 0.825 0.936
Y 0.672 0.825 0.564
Y 0.172 0.675 0.064
Y 0.328 0.175 0.064
Ir 0.553 0.118 0.750
Ir 0.947 0.618 0.750
Ir 0.053 0.382 0.250
Ir 0.447 0.882 0.250

Computed properties:
- energy (eV per atom) = -7.17
- DOS at the Fermi energy (states/eV/f.u.) = 4.52
- ΔH_f (0 K) (meV per atom) = -541
- magnetization (Bohr magnetons per cell) = 0.0



LaPrThTl: relaxed, GGA-PBE.

a = 5.652 Å, b = 5.652 Å, c = 5.652 Å
α = 60.00°, β = 60.00°, γ = 60.00°
Atoms (fractional coordinates):
Pr 0.250 0.250 0.250
Th 0.500 0.500 0.500
Tl 0.000 0.000 0.000
La 0.750 0.750 0.750

Computed properties:
- energy (eV per atom) = -4.85
- DOS at the Fermi energy (states/eV/f.u.) = 6.82
- ΔH_f (0 K) (meV per atom) = 21
- magnetization (Bohr magnetons per cell) = 0.0



PbSe3: relaxed, GGA-PBE.

a = 3.593 Å, b = 3.593 Å, c = 7.248 Å
α = 90.00°, β = 90.00°, γ = 90.00°
Atoms (fractional coordinates):
Pb 0.000 0.000 0.000
Se 0.000 0.000 0.500
Se 0.500 0.500 0.265
Se 0.500 0.500 0.735

Computed properties:
- E_form (uncorrected) (eV/atom) = 0.2257
- energy (eV per atom) = -3.31
- DOS at the Fermi energy (states/eV/f.u.) = 3.15
- magnetization (Bohr magnetons per cell) = 0.0



La2MnHg: relaxed, GGA-PBE.

a = 5.828 Å, b = 5.828 Å, c = 5.828 Å
α = 132.47°, β = 132.47°, γ = 69.48°
Each line ends with the local moment (μB).
Atoms (fractional coordinates):
La 0.250 0.750 0.500  -0.29
La 0.000 0.000 0.000  -0.29
Hg 0.750 0.250 0.500  -0.04
Mn 0.500 0.500 0.000  3.69

Computed properties:
- energy (eV per atom) = -4.81
- DOS at the Fermi energy (states/eV/f.u.) = 4.07
- ΔH_f (0 K) (meV per atom) = 18
- magnetization (Bohr magnetons per cell) = 2.8



TiTl2Zn: relaxed, GGA-PBE.

a = 4.987 Å, b = 4.987 Å, c = 4.987 Å
α = 60.00°, β = 60.00°, γ = 60.00°
Each line ends with the local moment (μB).
Atoms (fractional coordinates):
Zn 0.500 0.500 0.500  0.01
Ti 0.000 0.000 0.000  1.51
Tl 0.750 0.750 0.750  0.04
Tl 0.250 0.250 0.250  0.04

Computed properties:
- energy (eV per atom) = -3.09
- DOS at the Fermi energy (states/eV/f.u.) = 4.76
- ΔH_f (0 K) (meV per atom) = 386
- magnetization (Bohr magnetons per cell) = 2.0



Nd3TmPb2: relaxed, GGA-PBE.

a = 4.989 Å, b = 9.038 Å, c = 9.677 Å
α = 117.84°, β = 104.97°, γ = 90.00°
Atoms (fractional coordinates):
Pb 0.650 0.649 0.298
Pb 0.350 0.851 0.702
Pb 0.650 0.149 0.298
Pb 0.350 0.351 0.702
Nd 0.500 0.750 0.000
Nd 0.823 0.074 0.648
Nd 0.500 0.250 0.000
Nd 0.823 0.574 0.648
Nd 0.177 0.926 0.352
Nd 0.177 0.426 0.352
Tm 0.000 0.500 0.000
Tm 0.000 0.000 0.000

Computed properties:
- energy (eV per atom) = -4.75
- DOS at the Fermi energy (states/eV/f.u.) = 6.85
- ΔH_f (0 K) (meV per atom) = -389
- magnetization (Bohr magnetons per cell) = 0.0